# LiCoCu3

A relaxed LiCoCu3 crystal (PBE, the Alexandria database).

abc: 3.971 3.971 3.971
angles: 90.00 90.00 90.00
Element x y z (fractional)
Li: 0.000 0.000 0.000
Co: 0.500 0.500 0.500
Cu: 0.000 0.000 0.500
Cu: 0.000 0.500 0.000
Cu: 0.500 0.000 0.000

SG   No. 221
Crystal system   cubic
Calculated formation energy   0.8161 eV per atom
D(E_F)   1.1 states/eV/cell
Size of the total moment   1.0 μB per cell
Energy relative to the lowest polymorph listed for this composition   87 meV per atom